This record from Alexandria via LeMat-Bulk describes a PBEsol-optimized structure of Li3Ti2P3O12. The functional is meta-GGA SCAN.

Lattice parameters (Å, degrees): 8.581 8.581 8.465 117.27 117.27 61.36
Fractional positions:
Li  0.144  0.856  0.750
Li  0.191  0.433  0.694
Li  0.433  0.191  0.194
Li  0.567  0.809  0.806
Li  0.809  0.567  0.306
Li  0.856  0.144  0.250
Ti  0.138  0.644  0.360
Ti  0.356  0.862  0.140
Ti  0.644  0.138  0.860
Ti  0.862  0.356  0.640
P  0.023  0.255  0.049
P  0.255  0.023  0.549
P  0.455  0.545  0.750
P  0.545  0.455  0.250
P  0.745  0.977  0.451
P  0.977  0.745  0.951
O  0.029  0.436  0.213
O  0.038  0.721  0.141
O  0.107  0.222  0.576
O  0.119  0.804  0.946
O  0.196  0.881  0.554
O  0.222  0.107  0.076
O  0.259  0.566  0.598
O  0.279  0.962  0.359
O  0.390  0.485  0.314
O  0.434  0.741  0.902
O  0.436  0.029  0.713
O  0.485  0.390  0.814
O  0.515  0.610  0.186
O  0.564  0.971  0.287
O  0.566  0.259  0.098
O  0.610  0.515  0.686
O  0.721  0.038  0.641
O  0.741  0.434  0.402
O  0.778  0.893  0.924
O  0.804  0.119  0.446
O  0.881  0.196  0.054
O  0.893  0.778  0.424
O  0.962  0.279  0.859
O  0.971  0.564  0.787


This record from Alexandria via LeMat-Bulk describes a PBEsol-optimized structure of Li3Ti2P3O12. The functional is meta-GGA SCAN.

Lattice parameters (Å, degrees): 8.359 8.387 8.995 62.33 62.46 60.14
Fractional positions:
Li  0.000  0.000  0.000
Li  0.065  0.409  0.714
Li  0.253  0.349  0.998
Li  0.413  0.808  0.723
Li  0.566  0.642  0.211
Li  0.664  0.147  0.720
Ti  0.181  0.932  0.294
Ti  0.477  0.222  0.421
Ti  0.681  0.426  0.810
Ti  0.977  0.731  0.905
P  0.083  0.113  0.612
P  0.293  0.619  0.103
P  0.373  0.532  0.610
P  0.580  0.037  0.107
P  0.796  0.826  0.603
P  0.875  0.329  0.108
O  0.080  0.205  0.126
O  0.126  0.923  0.769
O  0.136  0.065  0.448
O  0.161  0.582  0.055
O  0.176  0.537  0.760
O  0.197  0.827  0.117
O  0.207  0.219  0.586
O  0.337  0.472  0.273
O  0.343  0.678  0.433
O  0.457  0.928  0.141
O  0.472  0.325  0.595
O  0.487  0.609  0.950
O  0.499  0.574  0.660
O  0.527  0.087  0.271
O  0.536  0.228  0.951
O  0.588  0.951  0.591
O  0.718  0.281  0.278
O  0.796  0.914  0.054
O  0.818  0.875  0.740
O  0.830  0.610  0.664
O  0.834  0.546  0.059
O  0.866  0.240  0.667
O  0.874  0.286  0.956
O  0.945  0.877  0.426


This record from Alexandria via LeMat-Bulk describes a PBEsol-optimized structure of Li3Ti2P3O12. The functional is meta-GGA SCAN.

Lattice parameters (Å, degrees): 8.981 8.981 8.981 55.76 55.76 55.76
Fractional positions:
Li  0.167  0.422  0.767
Li  0.233  0.833  0.578
Li  0.422  0.767  0.167
Li  0.578  0.233  0.833
Li  0.767  0.167  0.422
Li  0.833  0.578  0.233
Ti  0.150  0.150  0.150
Ti  0.354  0.354  0.354
Ti  0.646  0.646  0.646
Ti  0.850  0.850  0.850
P  0.042  0.748  0.460
P  0.252  0.540  0.958
P  0.460  0.042  0.748
P  0.540  0.958  0.252
P  0.748  0.460  0.042
P  0.958  0.252  0.540
O  0.004  0.965  0.336
O  0.035  0.664  0.996
O  0.043  0.708  0.655
O  0.111  0.310  0.497
O  0.247  0.626  0.360
O  0.292  0.345  0.957
O  0.310  0.497  0.111
O  0.336  0.004  0.965
O  0.345  0.957  0.292
O  0.360  0.247  0.626
O  0.374  0.640  0.753
O  0.497  0.111  0.310
O  0.503  0.889  0.690
O  0.626  0.360  0.247
O  0.640  0.753  0.374
O  0.655  0.043  0.708
O  0.664  0.996  0.035
O  0.690  0.503  0.889
O  0.708  0.655  0.043
O  0.753  0.374  0.640
O  0.889  0.690  0.503
O  0.957  0.292  0.345
O  0.965  0.336  0.004
O  0.996  0.035  0.664


| no. | total magnetic moment (μB per formula unit) | ΔE_f (raw) (eV per atom) |
| --- | --- | --- |
| 1 | 2.00 | -2.727 |
| 2 | 2.00 | -2.735 |
| 3 | 2.00 | -2.723 |